(1)
Density functional theory data (GGA-PBE) for a geometry-optimized HfTi2Mo structure.

offset from the most stable computed form	504	meV/atom
total magnetization	0.0	μB per formula unit
Fermi-level density of states	1.41	states/eV/atom

Unit cell a=7.235 b=7.235 c=5.851 alpha=51.80 beta=51.80 gamma=90.00
Atoms (fractional coordinates):
Ti1 0.875 0.846 0.750
Ti2 0.596 0.125 0.250
Ti3 0.154 0.625 0.250
Ti4 0.375 0.404 0.750
Hf1 0.000 0.000 0.000
Hf2 0.750 0.250 0.500
Mo1 0.250 0.750 0.500
Mo2 0.500 0.500 0.000

---

(2)
Density functional theory data (GGA-PBE) for a geometry-optimized HfTi4Mo structure.

total magnetization	0.0	μB per formula unit
Fermi-level density of states	1.63	states/eV/atom

Unit cell a=4.818 b=7.334 c=6.100 alpha=90.00 beta=90.00 gamma=90.00
Atoms (fractional coordinates):
Ti1 0.500 0.317 0.981
Ti2 0.500 0.683 0.019
Ti3 0.500 0.683 0.481
Ti4 0.500 0.005 0.250
Ti5 0.500 0.317 0.519
Ti6 0.000 0.000 0.000
Ti7 0.000 0.000 0.500
Ti8 0.500 0.995 0.750
Hf1 0.000 0.619 0.750
Hf2 0.000 0.381 0.250
Mo1 0.000 0.735 0.250
Mo2 0.000 0.265 0.750

---

(3)
Density functional theory data (GGA-PBE) for a geometry-optimized HfTiMo structure.

offset from the most stable computed form	2	meV/atom
total magnetization	0.0	μB per formula unit
Fermi-level density of states	1.04	states/eV/atom

Unit cell a=3.349 b=4.730 c=7.050 alpha=90.00 beta=103.74 gamma=90.00
Atoms (fractional coordinates):
Hf1 0.920 0.250 0.839
Hf2 0.080 0.750 0.161
Mo1 0.593 0.250 0.187
Mo2 0.407 0.750 0.813
Ti1 0.765 0.750 0.531
Ti2 0.235 0.250 0.469

---

(4)
Density functional theory data (GGA-PBE) for a geometry-optimized HfTiMo structure.

offset from the most stable computed form	0	meV/atom
total magnetization	0.0	μB per formula unit
Fermi-level density of states	1.67	states/eV/atom

Unit cell a=5.289 b=5.289 c=8.888 alpha=90.00 beta=90.00 gamma=118.20
Atoms (fractional coordinates):
Mo1 0.171 0.341 0.000
Mo2 0.832 0.168 0.500
Mo3 0.659 0.829 0.000
Mo4 0.167 0.833 0.000
Hf1 0.333 0.667 0.305
Hf2 0.333 0.667 0.695
Hf3 0.668 0.332 0.819
Hf4 0.668 0.332 0.181
Ti1 0.345 0.171 0.500
Ti2 0.829 0.655 0.500
Ti3 0.998 0.002 0.251
Ti4 0.998 0.002 0.749

---

(5)
Density functional theory data (GGA-PBE) for a geometry-optimized HfTiMo4 structure.

total magnetization	0.0	μB per formula unit
Fermi-level density of states	0.64	states/eV/atom

Unit cell a=5.302 b=5.302 c=5.302 alpha=60.00 beta=60.00 gamma=60.00
Atoms (fractional coordinates):
Mo1 0.125 0.625 0.625
Mo2 0.625 0.625 0.125
Mo3 0.625 0.125 0.625
Mo4 0.625 0.625 0.625
Hf1 0.250 0.250 0.250
Ti1 0.000 0.000 0.000

---

(6)
Density functional theory data (GGA-PBE) for a geometry-optimized HfTiTlMo structure.

total magnetization	0.0	μB per formula unit
Fermi-level density of states	0.80	states/eV/atom

Unit cell a=4.747 b=4.747 c=4.747 alpha=60.00 beta=60.00 gamma=60.00
Atoms (fractional coordinates):
Mo1 0.000 0.000 0.000
Ti1 0.250 0.250 0.250
Hf1 0.750 0.750 0.750
Tl1 0.500 0.500 0.500

---

(7)
Density functional theory data (GGA-PBE) for a geometry-optimized HfTi2Mo6W2 structure.

total magnetization	0.0	μB per formula unit
Fermi-level density of states	0.67	states/eV/atom

Unit cell a=5.541 b=5.541 c=7.998 alpha=69.73 beta=69.73 gamma=60.00
Atoms (fractional coordinates):
Ti1 0.324 0.324 0.027
Ti2 0.676 0.676 0.973
Mo1 0.943 0.442 0.673
Mo2 0.442 0.943 0.673
Mo3 0.943 0.943 0.673
Mo4 0.057 0.558 0.327
Mo5 0.558 0.057 0.327
Mo6 0.057 0.057 0.327
W1 0.557 0.557 0.329
W2 0.443 0.443 0.671
Hf1 0.000 0.000 0.000

---

(8)
Density functional theory data (GGA-PBE) for a geometry-optimized HfTiZn2Mo structure.

total magnetization	3.7	μB per formula unit
Fermi-level density of states	1.15	states/eV/atom

Unit cell a=5.002 b=5.002 c=4.601 alpha=90.00 beta=90.00 gamma=90.00
Site moments in Bohr magnetons follow the coordinates.
Atoms (fractional coordinates):
Ti1 0.000 0.000 0.500  0.04
Zn1 0.000 0.500 0.000  -0.01
Zn2 0.500 0.000 0.000  -0.01
Hf1 0.000 0.000 0.000  0.00
Mo1 0.500 0.500 0.500  3.08

---

So what do the calculations give for formation enthalpy at 0 K? Going down the list: 0.43, 0.13, -0.06, -0.07, -0.09, 0.10, 0.55, 1.64 eV/atom.